Entry 1:
Here is crystalline La3Pm8Ho2 at its relaxed geometry from Alexandria. Energies are from PBE.

ΔH_f (0 K), eV per atom: 0.145
Total magnetic moment, μB per atom: 0.001
Polymorph energy (0 for the lowest one), eV/atom: 0.000

Lattice parameters (Å, degrees): 13.3779 11.8704 6.2322 90.00 112.91 90.00
Space group C2/m (No. 12)
Asymmetric unit:
La1 0.0000 0.0000 0.0000 [2 per cell]
La2 0.0000 0.2382 0.5000 [4 per cell]
Pm1 0.0576 0.5000 0.2861 [4 per cell]
Pm2 0.1601 0.0000 0.5471 [4 per cell]
Pm3 0.1757 0.2558 0.1774 [8 per cell]
Ho1 0.2091 0.5000 0.8620 [4 per cell]

***

Entry 2:
Here is crystalline RbUCl4 at its relaxed geometry from Alexandria. Energies are from PBE.

Raw formation energy, eV per atom: -1.8010
Total magnetic moment, μB per atom: 0.500

Lattice parameters (Å, degrees): 9.4286 14.1174 6.5267 90.00 118.12 90.00
Space group C2/c (No. 15)
Asymmetric unit:
Rb1 0.0000 0.1415 0.2500 [4 per cell]
U1 0.0000 0.4986 0.7500 [4 per cell]
Cl1 0.1028 0.3458 0.5678 [8 per cell]
Cl2 0.2371 0.0594 0.8193 [8 per cell]

***

Entry 3:
Here is crystalline LaFe2Os at its relaxed geometry from Alexandria. Energies are from PBE.

ΔH_f (0 K), eV per atom: 0.724
Total magnetic moment, μB per atom: 1.207
Polymorph energy (0 for the lowest one), eV/atom: 0.638

Lattice parameters (Å, degrees): 2.8887 2.8887 28.0315 90.00 90.00 120.00
Space group R-3m (No. 166, hexagonal axes)
Asymmetric unit:
La1 0.0000 0.0000 0.0000 [3 per cell]
Fe1 0.0000 0.0000 0.2369 [6 per cell]
Os1 0.0000 0.0000 0.5000 [3 per cell]